1.
MgHRh3: relaxed, GGA-PBE.

Cell lengths 2.8253, 4.8261, 4.8261 Å; angles 107.36, 90.00, 90.00 degrees
With the nearest neighbours (Å) after each atom.
Fractional coordinates of all 5 atoms:
Rh1 0.5000 0.6369 0.8422  1 H 1.75
Rh2 0.5000 0.1578 0.3631  1 H 1.75
Rh3 0.0000 0.1660 0.8340  2 H 1.84
H1 0.5000 0.0153 0.9847  4 Rh 1.75-1.84
Mg1 0.0000 0.6520 0.3480  10 Rh 2.79-2.86, 2 Mg 2.83

Calculated values
SG: Amm2
Theoretical density: 8.83 g cm⁻³
Relative energy among the computed polymorphs: 71 meV per atom

2.
MgH6Rh: relaxed, GGA-PBE.

Cell lengths 4.2754, 4.2754, 7.5862 Å; angles 90.00, 90.00, 81.33 degrees
With the nearest neighbours (Å) after each atom.
Fractional coordinates of all 16 atoms:
Rh1 0.5000 0.0000 0.0000  6 H 1.66-1.77
Rh2 0.0000 0.5000 0.5000  6 H 1.66-1.77
H1 0.5000 0.9999 0.7802  1 Rh 1.67
H2 0.5805 0.5594 0.5001  1 H 0.91
H3 0.0001 0.5000 0.7198  1 Rh 1.67
H4 0.9999 0.5000 0.2802  1 Rh 1.67
H5 0.1358 0.1988 0.0000  1 Rh 1.66, 1 H 1.72
H6 0.4195 0.4406 0.4999  1 H 0.91
H7 0.4406 0.4195 0.9999  1 H 0.91
H8 0.5594 0.5805 0.0001  1 H 0.91
H9 0.1988 0.1358 0.5000  1 Rh 1.66, 1 H 1.72
H10 0.5000 0.0001 0.2198  1 Rh 1.67
H11 0.8642 0.8012 0.0000  1 Rh 1.66, 1 H 1.72
H12 0.8012 0.8642 0.5000  1 Rh 1.66, 1 H 1.72
Mg1 0.0000 0.0000 0.2500  8 H 2.15-2.19
Mg2 0.0000 0.0000 0.7500  8 H 2.15-2.19

Calculated values
SG: Cccm
Theoretical density: 3.23 g cm⁻³

3.
MgHRh3: relaxed, GGA-PBE.

Cell lengths 7.0937, 7.0937, 5.0335 Å; angles 90.00, 90.00, 137.50 degrees
With the nearest neighbours (Å) after each atom.
Fractional coordinates of all 10 atoms:
H1 0.5514 0.4486 0.7500  2 Rh 1.74
H2 0.4486 0.5514 0.2500  2 Rh 1.74
Rh1 0.8870 0.6030 0.7500  1 H 1.74
Rh2 0.0000 0.0000 0.5000  6 Rh 2.52-2.61, 2 Mg 2.65
Rh3 0.6030 0.8870 0.2500  1 H 1.74
Rh4 0.1130 0.3970 0.2500  1 H 1.74
Rh5 0.0000 0.0000 0.0000  6 Rh 2.52-2.61, 2 Mg 2.65
Rh6 0.3970 0.1130 0.7500  1 H 1.74
Mg1 0.1763 0.8237 0.2500  8 Rh 2.65-2.87
Mg2 0.8237 0.1763 0.7500  8 Rh 2.65-2.87

Calculated values
SG: Cmcm
Theoretical density: 6.48 g cm⁻³
Relative energy among the computed polymorphs: 658 meV per atom

4.
MgHRh3: relaxed, GGA-PBE.

Cell lengths 4.3573, 4.3573, 7.7463 Å; angles 90.00, 90.00, 120.00 degrees
With the nearest neighbours (Å) after each atom.
Fractional coordinates of all 10 atoms:
H1 0.0000 0.0000 0.5000  2 Rh 1.94
H2 0.0000 0.0000 0.0000  2 Rh 1.94
Rh1 0.6667 0.3333 0.5795  4 Mg 2.55-2.84, 3 H 2.59, 7 Rh 2.64-2.84
Rh2 0.3333 0.6667 0.0795  4 Mg 2.55-2.84, 3 H 2.59, 7 Rh 2.64-2.84
Rh3 0.6667 0.3333 0.9205  4 Mg 2.55-2.84, 3 H 2.59, 7 Rh 2.64-2.84
Rh4 0.0000 0.0000 0.7500  2 H 1.94
Rh5 0.0000 0.0000 0.2500  2 H 1.94
Rh6 0.3333 0.6667 0.4205  4 Mg 2.55-2.84, 3 H 2.59, 7 Rh 2.64-2.84
Mg1 0.3333 0.6667 0.7500  5 Rh 2.52-2.55
Mg2 0.6667 0.3333 0.2500  5 Rh 2.52-2.55

Calculated values
SG: P6_3/mmc
Theoretical density: 8.71 g cm⁻³
Relative energy among the computed polymorphs: 434 meV per atom

5.
MgHRh3: relaxed, GGA-PBE.

Cell lengths 4.5956, 4.5956, 4.5956 Å; angles 90.00, 90.00, 90.00 degrees
With the nearest neighbours (Å) after each atom.
Fractional coordinates of all 5 atoms:
Rh1 0.5000 0.0000 0.0000  2 Mg 2.30
Rh2 0.0000 0.0000 0.5000  2 Mg 2.30
Rh3 0.0000 0.5000 0.0000  2 Mg 2.30
H1 0.5000 0.5000 0.5000  12 Rh 3.25
Mg1 0.0000 0.0000 0.0000  6 Rh 2.30

Calculated values
SG: Pm-3m
Theoretical density: 5.71 g cm⁻³
Relative energy among the computed polymorphs: 2062 meV per atom

6.
MgHRh3: relaxed, GGA-PBE.

Cell lengths 18.8997, 4.9159, 7.5090 Å; angles 90.00, 158.17, 90.00 degrees
With the nearest neighbours (Å) after each atom.
Fractional coordinates of all 20 atoms:
Rh1 0.7106 0.7547 0.7100  1 H 1.85
Rh2 0.2894 0.2453 0.2900  1 H 1.85
Rh3 0.7894 0.2547 0.7900  1 H 1.85
Rh4 0.9045 0.4022 0.4039  2 H 1.96-2.02
Rh5 0.8141 0.9054 0.3158  1 H 1.88
Rh6 0.6859 0.4054 0.1842  1 H 1.88
Rh7 0.1859 0.0946 0.6842  1 H 1.88
Rh8 0.2106 0.7453 0.2100  1 H 1.85
Rh9 0.3141 0.5946 0.8158  1 H 1.88
Rh10 0.0955 0.5978 0.5961  2 H 1.96-2.02
Rh11 0.5955 0.9022 0.0961  2 H 1.96-2.02
Rh12 0.4045 0.0978 0.9039  2 H 1.96-2.02
Mg1 0.4438 0.7505 0.4448  7 Rh 2.57-2.85, 2 Mg 2.82-2.83
Mg2 0.0562 0.2505 0.0552  7 Rh 2.57-2.85, 2 Mg 2.82-2.83
Mg3 0.5562 0.2495 0.5552  7 Rh 2.57-2.85, 2 Mg 2.82-2.83
Mg4 0.9438 0.7495 0.9448  7 Rh 2.57-2.85, 2 Mg 2.82-2.83
H1 0.5798 0.2876 0.1528  4 Rh 1.85-2.02
H2 0.0798 0.2124 0.6528  4 Rh 1.85-2.02
H3 0.4202 0.7124 0.8472  4 Rh 1.85-2.02
H4 0.9202 0.7876 0.3472  4 Rh 1.85-2.02

Calculated values
SG: P2_1/c
Theoretical density: 8.55 g cm⁻³
Relative energy among the computed polymorphs: 243 meV per atom

7.
MgHRh3: relaxed, GGA-PBE.

Cell lengths 13.7896, 7.9807, 7.9807 Å; angles 118.48, 143.79, 36.21 degrees
With the nearest neighbours (Å) after each atom.
Fractional coordinates of all 20 atoms:
Rh1 0.6270 0.2949 0.2123  1 H 1.82
Rh2 0.3806 0.0308 0.1330  2 H 1.86-1.88
Rh3 0.1270 0.2877 0.2051  1 H 1.82
Rh4 0.3634 0.3873 0.4422  2 Mg 2.68-2.83, 9 Rh 2.69-2.79
Rh5 0.1194 0.6330 0.5308  2 H 1.86-1.88
Rh6 0.6194 0.9692 0.8670  2 H 1.86-1.88
Rh7 0.8634 0.0578 0.1127  2 Mg 2.68-2.83, 9 Rh 2.69-2.79
Rh8 0.3730 0.7051 0.7877  1 H 1.82
Rh9 0.8806 0.3670 0.4692  2 H 1.86-1.88
Rh10 0.6366 0.6127 0.5578  2 Mg 2.68-2.83, 9 Rh 2.69-2.79
Rh11 0.8730 0.7123 0.7949  1 H 1.82
Rh12 0.1366 0.9422 0.8873  2 Mg 2.68-2.83, 9 Rh 2.69-2.79
H1 0.7526 0.9334 0.2405  3 Rh 1.82-1.88
H2 0.7474 0.7405 0.4334  3 Rh 1.82-1.88
H3 0.2526 0.2595 0.5666  3 Rh 1.82-1.88
H4 0.2474 0.0666 0.7595  3 Rh 1.82-1.88
Mg1 0.2500 0.8490 0.3490  6 Rh 2.68-2.83, 2 Mg 2.90, 2 H 2.90
Mg2 0.7500 0.5701 0.0701  4 H 2.57-2.69, 4 Rh 2.64-2.76
Mg3 0.7500 0.1510 0.6510  6 Rh 2.68-2.83, 2 Mg 2.90, 2 H 2.90
Mg4 0.2500 0.4299 0.9299  4 H 2.57-2.69, 4 Rh 2.64-2.76

Calculated values
SG: C2/c
Theoretical density: 8.35 g cm⁻³
Relative energy among the computed polymorphs: 184 meV per atom

8.
MgHRh2: relaxed, GGA-PBE.

Cell lengths 6.1796, 6.1796, 5.0587 Å; angles 52.35, 52.35, 90.00 degrees
With the nearest neighbours (Å) after each atom.
Fractional coordinates of all 8 atoms:
Rh1 0.2317 0.6250 0.2500  2 H 1.89
Rh2 0.8750 0.7683 0.7500  2 H 1.89
Rh3 0.5183 0.1250 0.2500  2 H 1.89
Rh4 0.3750 0.4817 0.7500  2 H 1.89
H1 0.5000 0.5000 0.0000  4 Rh 1.89
H2 0.2500 0.7500 0.5000  4 Rh 1.89
Mg1 0.7500 0.2500 0.5000  2 H 2.55, 8 Rh 2.61-2.77
Mg2 0.0000 0.0000 0.0000  2 H 2.55, 8 Rh 2.61-2.77

Calculated values
SG: I-42d
Theoretical density: 7.89 g cm⁻³
Relative energy among the computed polymorphs: 6 meV per atom

9.
MgHRh3: relaxed, GGA-PBE.

Cell lengths 4.5773, 4.5773, 10.2633 Å; angles 77.12, 77.12, 90.00 degrees
With the nearest neighbours (Å) after each atom.
Fractional coordinates of all 10 atoms:
Rh1 0.1240 0.8795 0.7520  2 Rh 2.24-2.34
Rh2 0.1205 0.8760 0.2480  2 Rh 2.24-2.34
Rh3 0.1240 0.3685 0.7520  2 Rh 2.24-2.34
Rh4 0.6431 0.6431 0.7137  2 H 2.29
Rh5 0.3569 0.3569 0.2863  2 H 2.29
Rh6 0.6315 0.8760 0.2480  2 Rh 2.24-2.34
H1 0.6358 0.1358 0.7285  6 Rh 2.29-2.56
H2 0.8642 0.3642 0.2715  6 Rh 2.29-2.56
Mg1 0.2500 0.7500 0.5000  4 Rh 2.72
Mg2 0.0000 0.0000 0.0000  4 Rh 2.66

Calculated values
SG: I-4m2
Theoretical density: 5.44 g cm⁻³
Relative energy among the computed polymorphs: 1014 meV per atom

10.
Mg2H3Rh: relaxed, GGA-PBE.

Cell lengths 4.7987, 6.0042, 5.0141 Å; angles 102.67, 118.59, 90.00 degrees
With the nearest neighbours (Å) after each atom.
Fractional coordinates of all 12 atoms:
Mg1 0.6360 0.5992 0.3490  1 H 2.00
Mg2 0.2869 0.9008 0.6510  1 H 2.00
Mg3 0.3640 0.4008 0.6510  1 H 2.00
Mg4 0.7131 0.0992 0.3490  1 H 2.00
Rh1 0.1189 0.2500 0.0000  1 H 1.67
Rh2 0.8811 0.7500 0.0000  1 H 1.67
H1 0.5327 0.7500 0.0000  1 Rh 1.67
H2 0.9801 0.4923 0.7843  2 Rh 1.88-1.93, 1 H 2.06
H3 0.8042 0.9923 0.7843  2 Rh 1.88-1.93, 1 H 2.06
H4 0.0199 0.5077 0.2157  2 Rh 1.88-1.93, 1 H 2.06
H5 0.1958 0.0077 0.2157  2 Rh 1.88-1.93, 1 H 2.06
H6 0.4673 0.2500 0.0000  1 Rh 1.67

Calculated values
SG: C2/c
Theoretical density: 4.18 g cm⁻³
Relative energy among the computed polymorphs: 85 meV per atom

Number 1: total moment 0.00 μB/f.u., calculated total energy -5.584 eV/atom. Number 2: total moment 0.00 μB/f.u., calculated total energy -3.695 eV/atom. Number 3: total moment 0.00 μB/f.u., calculated total energy -4.996 eV/atom. Number 4: total moment 1.20 μB/f.u., calculated total energy -5.220 eV/atom. Number 5: total moment 3.73 μB/f.u., calculated total energy -3.592 eV/atom. Number 6: total moment 0.00 μB/f.u., calculated total energy -5.411 eV/atom. Number 7: total moment 0.00 μB/f.u., calculated total energy -5.470 eV/atom. Number 8: total moment 0.00 μB/f.u., calculated total energy -5.068 eV/atom. Number 9: total moment 0.71 μB/f.u., calculated total energy -4.640 eV/atom. Number 10: total moment 0.00 μB/f.u., calculated total energy -3.614 eV/atom.